# 1
{
  "formula": "LaTeRu",
  "functional": "PBE",
  "state": "optimized geometry",
  "dos_ef_per_ev_fu": 4.15,
  "formation_energy_uncorrected_ev_per_atom": -0.286,
  "crystal_system": "tetragonal",
  "cell": [[3.4679, 0.0000, 0.0000], [0.0000, 3.4679, 0.0000], [0.0000, 0.0000, 11.6290]],
  "species": ["La", "La", "Te", "Te", "Ru", "Ru"],
  "frac_coords": [[0.0000, 0.0000, 0.0000], [0.5000, 0.5000, 0.5000], [0.0000, 0.0000, 0.2879], [0.5000, 0.5000, 0.7879], [0.0000, 0.0000, 0.6786], [0.5000, 0.5000, 0.1786]]
}

=====

# 2
{
  "formula": "TaFe2CoH",
  "functional": "PBE",
  "state": "optimized geometry",
  "dos_ef_per_ev_fu": 5.59,
  "polymorph_energy_ev_per_atom": 0.076,
  "crystal_system": "tetragonal",
  "cell": [[3.6074, 0.0000, 0.0000], [0.0000, 3.6074, 0.0000], [0.0000, 0.0000, 3.9807]],
  "species": ["Ta", "Fe", "Fe", "Co", "H"],
  "frac_coords": [[0.0000, 0.0000, 0.0000], [0.0000, 0.5000, 0.5000], [0.5000, 0.0000, 0.5000], [0.5000, 0.5000, 0.0000], [0.0000, 0.0000, 0.5000]]
}

=====

# 3
{
  "formula": "Pr3Ga3Os",
  "functional": "PBE",
  "state": "optimized geometry",
  "dos_ef_per_ev_fu": 6.59,
  "ef_ev_per_atom": -0.449,
  "crystal_system": "monoclinic",
  "cell": [[5.6851, -2.1267, 0.0000], [5.6851, 2.1267, 0.0000], [-4.5573, 0.0000, 14.2150]],
  "species": ["Pr", "Pr", "Pr", "Pr", "Pr", "Pr", "Ga", "Ga", "Ga", "Ga", "Ga", "Ga", "Os", "Os"],
  "frac_coords": [[0.0238, 0.0238, 0.3852], [0.1133, 0.1133, 0.9195], [0.2404, 0.2404, 0.2383], [0.7596, 0.7596, 0.7617], [0.8867, 0.8867, 0.0805], [0.9762, 0.9762, 0.6148], [0.3343, 0.3343, 0.4623], [0.3984, 0.3984, 0.9268], [0.4672, 0.4672, 0.7690], [0.5329, 0.5329, 0.2310], [0.6016, 0.6016, 0.0732], [0.6657, 0.6657, 0.5377], [0.2694, 0.2694, 0.6189], [0.7306, 0.7306, 0.3811]]
}

=====

# 4
{
  "formula": "CaLaMg2Pt",
  "functional": "PBE",
  "state": "optimized geometry",
  "dos_ef_per_ev_fu": 2.73,
  "ef_ev_per_atom": -0.436,
  "crystal_system": "tetragonal",
  "cell": [[5.2792, 0.0000, 0.0000], [0.0000, 5.2792, 0.0000], [0.0000, 0.0000, 5.4407]],
  "species": ["Ca", "La", "Mg", "Mg", "Pt"],
  "frac_coords": [[0.0000, 0.0000, 0.0000], [0.5000, 0.5000, 0.0000], [0.0000, 0.5000, 0.5000], [0.5000, 0.0000, 0.5000], [0.5000, 0.5000, 0.5000]]
}

=====

# 5
{
  "formula": "ScSi2Rh",
  "functional": "PBE",
  "state": "optimized geometry",
  "dos_ef_per_ev_fu": 0.31,
  "formation_energy_uncorrected_ev_per_atom": -0.434,
  "crystal_system": "cubic",
  "cell": [[6.2831, 0.0000, 0.0000], [0.0000, 6.2831, 0.0000], [0.0000, 0.0000, 6.2831]],
  "species": ["Sc", "Sc", "Sc", "Sc", "Si", "Si", "Si", "Si", "Si", "Si", "Si", "Si", "Rh", "Rh", "Rh", "Rh"],
  "frac_coords": [[0.0000, 0.0000, 0.0000], [0.0000, 0.5000, 0.5000], [0.5000, 0.0000, 0.5000], [0.5000, 0.5000, 0.0000], [0.0000, 0.0000, 0.5000], [0.0000, 0.5000, 0.0000], [0.2500, 0.2500, 0.7500], [0.2500, 0.7500, 0.2500], [0.5000, 0.0000, 0.0000], [0.5000, 0.5000, 0.5000], [0.7500, 0.2500, 0.2500], [0.7500, 0.7500, 0.7500], [0.2500, 0.2500, 0.2500], [0.2500, 0.7500, 0.7500], [0.7500, 0.2500, 0.7500], [0.7500, 0.7500, 0.2500]]
}

=====

# 6
{
  "formula": "SrAg2HgF8",
  "functional": "PBE",
  "state": "optimized geometry",
  "dos_ef_per_ev_fu": 8.86,
  "formation_energy_uncorrected_ev_per_atom": -1.823,
  "crystal_system": "tetragonal",
  "cell": [[-2.8104, 2.8104, 5.6275], [2.8104, -2.8104, 5.6275], [2.8104, 2.8104, -5.6275]],
  "species": ["Sr", "Ag", "Ag", "Hg", "F", "F", "F", "F", "F", "F", "F", "F"],
  "frac_coords": [[0.0000, 0.0000, 0.0000], [0.5000, 0.5000, 0.0000], [0.7500, 0.2500, 0.5000], [0.2500, 0.7500, 0.5000], [0.1271, 0.1348, 0.5157], [0.1271, 0.6114, 0.9923], [0.3886, 0.3809, 0.5157], [0.3886, 0.8729, 0.0077], [0.6191, 0.1348, 0.0077], [0.6191, 0.6114, 0.4843], [0.8652, 0.3809, 0.9923], [0.8652, 0.8729, 0.4843]]
}

=====

# 7
{
  "formula": "NaZnHg",
  "functional": "PBE",
  "state": "optimized geometry",
  "dos_ef_per_ev_fu": 1.79,
  "ef_ev_per_atom": 0.011,
  "polymorph_energy_ev_per_atom": 0.126,
  "crystal_system": "cubic",
  "cell": [[6.7106, 0.0000, 0.0000], [0.0000, 6.7106, 0.0000], [0.0000, 0.0000, 6.7106]],
  "species": ["Na", "Na", "Na", "Na", "Zn", "Zn", "Zn", "Zn", "Hg", "Hg", "Hg", "Hg"],
  "frac_coords": [[0.0000, 0.0000, 0.0000], [0.0000, 0.5000, 0.5000], [0.5000, 0.0000, 0.5000], [0.5000, 0.5000, 0.0000], [0.2500, 0.2500, 0.2500], [0.2500, 0.7500, 0.7500], [0.7500, 0.2500, 0.7500], [0.7500, 0.7500, 0.2500], [0.0000, 0.0000, 0.5000], [0.0000, 0.5000, 0.0000], [0.5000, 0.0000, 0.0000], [0.5000, 0.5000, 0.5000]]
}

=====

# 8
{
  "formula": "La3PN5",
  "functional": "PBE",
  "state": "optimized geometry",
  "dos_ef_per_ev_fu": 5.55,
  "formation_energy_uncorrected_ev_per_atom": -1.188,
  "crystal_system": "tetragonal",
  "cell": [[-3.4419, 3.4419, 5.5150], [3.4419, -3.4419, 5.5150], [3.4419, 3.4419, -5.5150]],
  "species": ["La", "La", "La", "La", "La", "La", "P", "P", "N", "N", "N", "N", "N", "N", "N", "N", "N", "N"],
  "frac_coords": [[0.1824, 0.6824, 0.8648], [0.2500, 0.2500, 0.0000], [0.3176, 0.1824, 0.5000], [0.6824, 0.8176, 0.5000], [0.7500, 0.7500, 0.0000], [0.8176, 0.3176, 0.1352], [0.2500, 0.7500, 0.5000], [0.7500, 0.2500, 0.5000], [0.0000, 0.0000, 0.0000], [0.0234, 0.7891, 0.5000], [0.2109, 0.7109, 0.2343], [0.2891, 0.5234, 0.5000], [0.4766, 0.9766, 0.7657], [0.5000, 0.5000, 0.0000], [0.5234, 0.0234, 0.2343], [0.7109, 0.4766, 0.5000], [0.7891, 0.2891, 0.7657], [0.9766, 0.2109, 0.5000]]
}

=====

Please write out number 4 again, unchanged.
{
  "formula": "CaLaMg2Pt",
  "functional": "PBE",
  "state": "optimized geometry",
  "dos_ef_per_ev_fu": 2.73,
  "ef_ev_per_atom": -0.436,
  "crystal_system": "tetragonal",
  "cell": [[5.2792, 0.0000, 0.0000], [0.0000, 5.2792, 0.0000], [0.0000, 0.0000, 5.4407]],
  "species": ["Ca", "La", "Mg", "Mg", "Pt"],
  "frac_coords": [[0.0000, 0.0000, 0.0000], [0.5000, 0.5000, 0.0000], [0.0000, 0.5000, 0.5000], [0.5000, 0.0000, 0.5000], [0.5000, 0.5000, 0.5000]]
}

=====

Repeat the first record exactly.
{
  "formula": "LaTeRu",
  "functional": "PBE",
  "state": "optimized geometry",
  "dos_ef_per_ev_fu": 4.15,
  "formation_energy_uncorrected_ev_per_atom": -0.286,
  "crystal_system": "tetragonal",
  "cell": [[3.4679, 0.0000, 0.0000], [0.0000, 3.4679, 0.0000], [0.0000, 0.0000, 11.6290]],
  "species": ["La", "La", "Te", "Te", "Ru", "Ru"],
  "frac_coords": [[0.0000, 0.0000, 0.0000], [0.5000, 0.5000, 0.5000], [0.0000, 0.0000, 0.2879], [0.5000, 0.5000, 0.7879], [0.0000, 0.0000, 0.6786], [0.5000, 0.5000, 0.1786]]
}